[1]
The following is a PBE calculation of crystalline TbSc5Sb6 at its relaxed geometry, from Alexandria via LeMat-Bulk.

Results
**Formation energy without anion corrections**: -11.6 eV/f.u.

a b c (Å): 7.287 7.287 7.289
angles (deg): 99.62 99.62 120.05
Fractional positions:
1 Tb 0.000 0.000 0.000
2 Sc 0.162 0.838 0.500
3 Sc 0.332 0.668 0.000
4 Sc 0.500 0.500 0.500
5 Sc 0.668 0.332 0.000
6 Sc 0.838 0.162 0.500
7 Sb 0.086 0.429 0.257
8 Sb 0.259 0.259 0.748
9 Sb 0.429 0.086 0.257
10 Sb 0.571 0.914 0.743
11 Sb 0.741 0.741 0.252
12 Sb 0.914 0.571 0.743

[2]
The following is a PBE calculation of crystalline ZrCuN2O at its relaxed geometry, from Alexandria via LeMat-Bulk.

Results
**Formation energy without anion corrections**: -0.1 eV/f.u.

a b c (Å): 3.718 3.718 3.713
angles (deg): 90.00 90.00 90.00
Fractional positions:
1 Zr 0.000 0.000 0.000
2 Cu 0.500 0.500 0.500
3 N 0.000 0.500 0.500
4 N 0.500 0.000 0.500
5 O 0.500 0.500 0.000

[3]
The following is a PBE calculation of crystalline Pr6Nd3Ho2 at its relaxed geometry, from Alexandria via LeMat-Bulk.

Results
**Energy of formation**: 272 meV/atom

a b c (Å): 17.515 17.515 17.515
angles (deg): 164.13 164.13 22.51
Fractional positions:
1 Pr 0.119 0.619 0.500
2 Pr 0.205 0.205 0.000
3 Pr 0.381 0.881 0.500
4 Pr 0.619 0.119 0.500
5 Pr 0.795 0.795 0.000
6 Pr 0.881 0.381 0.500
7 Nd 0.305 0.305 0.000
8 Nd 0.500 0.500 0.000
9 Nd 0.695 0.695 0.000
10 Ho 0.045 0.045 0.000
11 Ho 0.955 0.955 0.000

[4]
The following is a PBE calculation of crystalline Er2PuThSb4 at its relaxed geometry, from Alexandria via LeMat-Bulk.

Results
**Formation energy without anion corrections**: -7.5 eV/f.u.

a b c (Å): 7.627 4.426 7.656
angles (deg): 90.00 109.57 90.00
Fractional positions:
1 Er 0.000 0.000 0.000
2 Er 0.000 0.500 0.500
3 Pu 0.500 0.000 0.500
4 Th 0.500 0.500 0.000
5 Sb 0.240 0.000 0.745
6 Sb 0.243 0.500 0.250
7 Sb 0.757 0.500 0.750
8 Sb 0.760 0.000 0.255

[5]
The following is a PBE calculation of crystalline PrPa2Os at its relaxed geometry, from Alexandria via LeMat-Bulk.

Results
**Energy of formation**: 290 meV/atom

a b c (Å): 10.132 10.132 10.132
angles (deg): 21.05 21.05 21.05
Fractional positions:
1 Pr 0.000 0.000 0.000
2 Pa 0.109 0.109 0.109
3 Pa 0.891 0.891 0.891
4 Os 0.500 0.500 0.500

[6]
The following is a PBE calculation of crystalline Ir6Ru2Rh at its relaxed geometry, from Alexandria via LeMat-Bulk.

Results
**Energy of formation**: 470 meV/atom

a b c (Å): 7.602 7.602 2.694
angles (deg): 90.00 90.00 120.00
Fractional positions:
1 Ir 0.000 0.336 0.249
2 Ir 0.000 0.664 0.751
3 Ir 0.336 0.000 0.249
4 Ir 0.336 0.336 0.751
5 Ir 0.664 0.000 0.751
6 Ir 0.664 0.664 0.249
7 Ru 0.333 0.667 0.500
8 Ru 0.667 0.333 0.500
9 Rh 0.000 0.000 0.000